VASP calculation (PBE with a Hubbard U) on a relaxed FeSiF2 crystal.

Cell: 5.565 5.565 9.702 Å, 90.00 90.00 90.00°
Space group I-42d (No. 122)
One atom of each set of equivalent atoms:
Fe 0.000 0.000 0.000
Si 0.000 0.000 0.500
F 0.123 0.250 0.125

Calculated values
Its density of states at the Fermi level is 0.1553 states/eV/atom. Its energy relative to the lowest polymorph listed for this composition is 235 meV per atom. For the total magnetization, the calculation gives 0.994 μB/atom.